No. 1
! Pr2DyEr2Sc2, optimized geometry, DFT PBE-GGA; values from VASP
! energy: -5.005 eV per atom
! space-group type: No. 12
! DFT formation energy: 0.9 eV per formula unit
! calculated volume: 216.5 Å³ per cell
&SYSTEM
  ibrav = 0, nat = 7, ntyp = 4
/
ATOMIC_SPECIES
Pr 140.91 Pr.upf
Sc 44.96 Sc.upf
Er 167.26 Er.upf
Dy 162.50 Dy.upf
CELL_PARAMETERS angstrom
3.487 0.000 0.000
-1.744 17.662 2.838
0.000 3.849 4.134
ATOMIC_POSITIONS angstrom
Pr 0.000 13.469 2.886
Pr 1.744 8.041 4.086
Sc 1.744 11.329 4.883
Sc 0.000 10.181 2.089
Er 0.000 5.276 2.801
Er 1.744 16.235 4.171
Dy 0.000 1.924 2.067

=====

No. 2
! TbY12Tm7, optimized geometry, DFT PBE-GGA; values from VASP
! energy: -5.382 eV per atom
! space-group type: No. 148
! DFT formation energy: 5.9 eV per formula unit
! calculated volume: 641.8 Å³ per cell
&SYSTEM
  ibrav = 0, nat = 20, ntyp = 3
/
ATOMIC_SPECIES
Y 88.91 Y.upf
Tb 158.93 Tb.upf
Tm 168.93 Tm.upf
CELL_PARAMETERS angstrom
8.559 0.743 1.115
-1.667 8.428 1.115
-1.667 -2.217 8.208
ATOMIC_POSITIONS angstrom
Y 3.158 0.686 4.119
Y 2.519 4.017 2.219
Y -0.220 2.559 4.562
Y 2.707 2.937 8.218
Y 5.418 1.179 6.836
Y 1.109 0.121 6.717
Y 5.446 4.395 5.875
Y -0.192 5.775 3.601
Y 2.068 6.268 6.319
Y -0.375 4.178 7.738
Y 5.601 2.776 2.699
Y 4.117 6.832 3.721
Tb 0.000 0.000 0.000
Tm -0.539 -0.059 3.009
Tm 5.765 7.013 7.429
Tm 2.388 6.693 9.333
Tm 2.613 3.477 5.219
Tm 5.133 3.972 9.772
Tm 2.839 0.261 1.104
Tm 0.093 2.982 0.666

=====

No. 3
! Nb2SbWN, optimized geometry, DFT PBE-GGA; values from VASP
! energy: -6.859 eV per atom
! space-group type: No. 123
! uncorrected formation energy: 2.25 eV/atom
! calculated volume: 120.7 Å³ per cell
&SYSTEM
  ibrav = 0, nat = 5, ntyp = 4
/
ATOMIC_SPECIES
N 14.01 N.upf
W 183.84 W.upf
Nb 92.91 Nb.upf
Sb 121.76 Sb.upf
CELL_PARAMETERS angstrom
4.881 0.000 0.000
0.000 5.067 0.000
0.000 0.000 4.881
ATOMIC_POSITIONS angstrom
N 2.440 2.533 2.440
W 0.000 0.000 0.000
Nb 0.000 0.000 2.440
Nb 2.440 0.000 0.000
Sb 0.000 2.533 0.000

=====

No. 4
! Na3Pu2AgSe6, optimized geometry, DFT PBE-GGA; values from VASP
! energy: -5.803 eV per atom
! space-group type: No. 12
! uncorrected formation energy: -1.10 eV/atom
! calculated volume: 306.6 Å³ per cell
&SYSTEM
  ibrav = 0, nat = 12, ntyp = 4
/
ATOMIC_SPECIES
Pu 244.00 Pu.upf
Ag 107.87 Ag.upf
Se 78.96 Se.upf
Na 22.99 Na.upf
CELL_PARAMETERS angstrom
-6.112 -3.058 -2.037
5.275 -4.005 2.643
-2.287 3.201 6.210
ATOMIC_POSITIONS angstrom
Pu 1.485 -3.690 1.085
Pu -2.322 -3.373 -0.480
Ag 0.000 0.000 0.000
Se -2.690 -0.859 0.768
Se 1.226 -1.185 2.378
Se -4.349 -2.677 4.438
Se -1.987 0.579 4.952
Se -0.434 -3.003 6.048
Se -1.136 -4.441 1.864
Na -5.420 -1.610 1.822
Na 2.297 -2.252 4.994
Na -1.562 -1.931 3.408